1.
Rb2LiCa | PBE-GGA | relaxed

a = 11.1020 Å, b = 11.1020 Å, c = 7.5611 Å
α = 90.00°, β = 90.00°, γ = 90.00°
Closest atoms and distances in Å follow each position.
Space group I-42d (No. 122)
Asymmetric unit:
1 Rb 0.1996 0.7500 0.1250  2 Li 3.68, 2 Rb 3.94
2 Li 0.0000 0.0000 0.0000  4 Rb 3.68, 2 Ca 3.78
3 Ca 0.0000 0.0000 0.5000  2 Li 3.78

Values from the calculation:
* energy relative to the lowest polymorph listed for this composition: 0.025 eV/atom

***

2.
VGaCo2Tc | PBE-GGA | relaxed

a = 4.1127 Å, b = 4.1127 Å, c = 4.6089 Å
α = 90.00°, β = 90.00°, γ = 90.00°
Closest atoms and distances in Å follow each position.
Space group P4/mmm (No. 123)
Asymmetric unit:
1 V 0.0000 0.0000 0.0000  4 Co 2.06
2 Ga 0.0000 0.0000 0.5000  2 V 2.30
3 Co 0.0000 0.5000 0.0000  2 V 2.06
4 Tc 0.5000 0.5000 0.5000  4 Ga 2.91, 8 Co 3.09

Values from the calculation:
* DFT total energy: -6.177 eV per atom

***

3.
Hf2ScTi | PBE-GGA | relaxed

a = 4.4143 Å, b = 4.4143 Å, c = 4.3744 Å
α = 90.00°, β = 90.00°, γ = 90.00°
Closest atoms and distances in Å follow each position.
Space group P4/mmm (No. 123)
Asymmetric unit:
1 Hf 0.0000 0.5000 0.0000  4 Sc 3.11, 4 Ti 3.11, 4 Hf 3.12
2 Sc 0.0000 0.0000 0.5000  8 Hf 3.11, 4 Ti 3.12
3 Ti 0.5000 0.5000 0.5000  8 Hf 3.11, 4 Sc 3.12

Values from the calculation:
* energy relative to the lowest polymorph listed for this composition: 0.037 eV/atom

***

4.
Tm8TcPt2 | PBE-GGA | relaxed

a = 8.3401 Å, b = 12.6760 Å, c = 5.6369 Å
α = 90.00°, β = 108.49°, γ = 90.00°
Closest atoms and distances in Å follow each position.
Space group Cm (No. 8)
Asymmetric unit:
1 Tm 0.0000 0.0000 0.0000  1 Tc 2.90, 2 Pt 3.00
2 Tm 0.0559 0.3761 0.7648  2 Pt 2.83-2.84, 1 Tc 3.11, 2 Tm 3.14-3.16
3 Tm 0.1557 0.1243 0.5753  2 Pt 2.85-2.86, 1 Tc 3.11, 2 Tm 3.15-3.16
4 Tm 0.2150 0.5000 0.3600  1 Tc 2.88, 2 Pt 3.02
5 Tm 0.3522 0.2166 0.1777  1 Tc 2.81, 2 Pt 3.05-3.07
6 Tc 0.3568 0.0000 0.2868  8 Tm 2.81-3.11
7 Pt 0.3594 0.3107 0.6830  8 Tm 2.83-3.07

Values from the calculation:
* DFT total energy: -5.767 eV per atom

***

5.
YHo2Zn2Ge2 | PBE-GGA | relaxed

a = 4.1206 Å, b = 4.1206 Å, c = 33.0989 Å
α = 90.00°, β = 90.00°, γ = 120.00°
Closest atoms and distances in Å follow each position.
Space group R-3m (No. 166, hexagonal axes)
Asymmetric unit:
1 Y 0.0000 0.0000 0.0000  6 Zn 3.02, 6 Ge 3.32
2 Ho 0.0000 0.0000 0.1240  3 Ge 2.98, 3 Zn 3.27
3 Zn 0.0000 0.0000 0.3895  3 Ge 2.42
4 Ge 0.0000 0.0000 0.2633  3 Zn 2.42

Values from the calculation:
* DFT total energy: -4.362 eV per atom

***

6.
BaSr3Ag | PBE-GGA | relaxed

a = 6.3311 Å, b = 6.3311 Å, c = 6.3311 Å
α = 90.00°, β = 90.00°, γ = 90.00°
Closest atoms and distances in Å follow each position.
Space group Pm-3m (No. 221)
Asymmetric unit:
1 Ba 0.0000 0.0000 0.0000  12 Sr 4.48
2 Sr 0.0000 0.5000 0.5000  2 Ag 3.17
3 Ag 0.5000 0.5000 0.5000  6 Sr 3.17

Values from the calculation:
* energy relative to the lowest polymorph listed for this composition: 0.018 eV/atom

***

7.
RbHg3Bi3 | PBE-GGA | relaxed

a = 8.3398 Å, b = 8.3398 Å, c = 8.3398 Å
α = 90.00°, β = 90.00°, γ = 90.00°
Closest atoms and distances in Å follow each position.
Space group Pm-3n (No. 223)
Asymmetric unit:
1 Rb 0.0000 0.0000 0.0000  12 Hg 4.66, 12 Bi 4.66
2 Hg 0.0000 0.2500 0.5000  4 Bi 2.95
3 Bi 0.0000 0.5000 0.2500  4 Hg 2.95

Values from the calculation:
* DFT total energy: -1.935 eV per atom

***

8.
AsN3F | PBE-GGA | relaxed

a = 3.7808 Å, b = 3.7808 Å, c = 3.7808 Å
α = 90.00°, β = 90.00°, γ = 90.00°
Closest atoms and distances in Å follow each position.
Space group Pm-3m (No. 221)
Asymmetric unit:
1 As 0.0000 0.0000 0.0000  6 N 1.89
2 N 0.0000 0.0000 0.5000  2 As 1.89
3 F 0.5000 0.5000 0.5000  12 N 2.67

Values from the calculation:
* energy relative to the elements, uncorrected: 9.34 eV/f.u.

***

9.
ZnSnPd5 | PBE-GGA | relaxed

a = 3.9771 Å, b = 3.9771 Å, c = 7.5105 Å
α = 90.00°, β = 90.00°, γ = 90.00°
Closest atoms and distances in Å follow each position.
Space group P4/mmm (No. 123)
Asymmetric unit:
1 Zn 0.0000 0.0000 0.0000  12 Pd 2.77-2.81
2 Sn 0.5000 0.5000 0.5000  8 Pd 2.70
3 Pd 0.0000 0.5000 0.2570  2 Sn 2.70, 6 Pd 2.77-2.81, 2 Zn 2.77
4 Pd 0.5000 0.5000 0.0000  8 Pd 2.77, 4 Zn 2.81

Values from the calculation:
* energy relative to the lowest polymorph listed for this composition: 0.000 eV/atom

***

10.
LiTbGeAu | PBE-GGA | relaxed

a = 6.8497 Å, b = 6.8497 Å, c = 6.8497 Å
α = 90.00°, β = 90.00°, γ = 90.00°
Closest atoms and distances in Å follow each position.
Space group F-43m (No. 216)
Asymmetric unit:
1 Li 0.0000 0.0000 0.0000  4 Ge 2.97, 4 Au 2.97
2 Tb 0.0000 0.0000 0.5000  4 Ge 2.97, 4 Au 2.97
3 Ge 0.2500 0.2500 0.2500  4 Tb 2.97, 4 Li 2.97
4 Au 0.2500 0.2500 0.7500  4 Li 2.97, 4 Tb 2.97

Values from the calculation:
* DFT total energy: -4.249 eV per atom

***

11.
KZrBe2 | PBE-GGA | relaxed

a = 7.5446 Å, b = 7.5634 Å, c = 2.7326 Å
α = 90.00°, β = 90.00°, γ = 90.00°
Closest atoms and distances in Å follow each position.
Space group Cmmm (No. 65)
Asymmetric unit:
1 K 0.0000 0.0000 0.0000  2 K 2.73, 8 Be 3.00
2 Zr 0.0000 0.5000 0.0000  2 Zr 2.73, 8 Be 3.00
3 Be 0.2500 0.2500 0.5000  2 Be 2.73, 4 Zr 3.00, 4 K 3.00

Values from the calculation:
* energy relative to the lowest polymorph listed for this composition: 0.349 eV/atom

***

12.
La2AlI | PBE-GGA | relaxed

a = 3.7163 Å, b = 3.7163 Å, c = 8.7205 Å
α = 90.00°, β = 90.00°, γ = 90.00°
Closest atoms and distances in Å follow each position.
Space group P4/mmm (No. 123)
Asymmetric unit:
1 La 0.0000 0.0000 0.2261  4 Al 3.29, 4 I 3.55
2 Al 0.5000 0.5000 0.0000  8 La 3.29
3 I 0.5000 0.5000 0.5000  8 La 3.55, 4 I 3.72

Values from the calculation:
* energy relative to the lowest polymorph listed for this composition: 0.000 eV/atom
* energy relative to the elements, uncorrected: -2.68 eV/f.u.

***

Q: What is the formula in the fifth record?
A: YHo2Zn2Ge2

***

Copy entry 11 word for word.
KZrBe2 | PBE-GGA | relaxed

a = 7.5446 Å, b = 7.5634 Å, c = 2.7326 Å
α = 90.00°, β = 90.00°, γ = 90.00°
Closest atoms and distances in Å follow each position.
Space group Cmmm (No. 65)
Asymmetric unit:
1 K 0.0000 0.0000 0.0000  2 K 2.73, 8 Be 3.00
2 Zr 0.0000 0.5000 0.0000  2 Zr 2.73, 8 Be 3.00
3 Be 0.2500 0.2500 0.5000  2 Be 2.73, 4 Zr 3.00, 4 K 3.00

Values from the calculation:
* energy relative to the lowest polymorph listed for this composition: 0.349 eV/atom